1.
First-principles (PBE) data for a relaxed ZrRe2Ru crystal, as listed in the Alexandria database.

abc: 4.5058 4.5058 4.5058
angles: 120.00 120.00 90.00
Last column: nearest neighbours and their distance in Å.
Sites, in units of the cell vectors:
Ru (0.5000, 0.5000, 0.0000)  4 Re 2.76, 4 Zr 2.76
Re (0.0000, 0.0000, 0.0000)  4 Zr 2.76, 4 Re 2.76
Zr (0.7500, 0.2500, 0.5000)  4 Ru 2.76, 4 Re 2.76
Re (0.2500, 0.7500, 0.5000)  4 Re 2.76, 4 Ru 2.76

Results
* volume: 16.172 Å³ per atom
* ΔH_f (0 K): 0.028 eV per atom
* ΔE to the lowest computed polymorph: 0.23 eV per formula unit
* energy: -10.652 eV per atom

---

2.
First-principles (PBE) data for a relaxed KCa2GaIr crystal, as listed in the Alexandria database.

abc: 5.6101 5.6101 4.9710
angles: 90.00 90.00 90.00
Last column: nearest neighbours and their distance in Å.
Sites, in units of the cell vectors:
K (0.5000, 0.5000, 0.5000)  8 Ca 3.75, 4 Ga 3.97
Ir (0.0000, 0.0000, 0.0000)  2 Ga 2.49
Ga (0.0000, 0.0000, 0.5000)  2 Ir 2.49
Ca (0.5000, 0.0000, 0.0000)  2 Ir 2.81
Ca (0.0000, 0.5000, 0.0000)  2 Ir 2.81

Results
* volume: 31.291 Å³ per atom
* ΔH_f (0 K): -0.241 eV per atom
* energy: -3.639 eV per atom

---

3.
First-principles (PBE) data for a relaxed P2S2O crystal, as listed in the Alexandria database.

abc: 4.2642 4.2642 4.1612
angles: 90.00 90.00 90.00
Last column: nearest neighbours and their distance in Å.
Sites, in units of the cell vectors:
S (0.5000, 0.5000, 0.5000)  8 P 2.98, 4 S 3.02
P (0.5000, 0.0000, 0.0000)  2 O 2.13
O (0.0000, 0.0000, 0.0000)  2 S 2.08, 4 P 2.13
P (0.0000, 0.5000, 0.0000)  2 O 2.13
S (0.0000, 0.0000, 0.5000)  2 O 2.08

Results
* uncorrected formation energy: 1.0262 eV per atom
* volume: 15.133 Å³ per atom
* energy: -3.780 eV per atom

---

4.
First-principles (PBE) data for a relaxed CsTiI6 crystal, as listed in the Alexandria database.

abc: 7.0303 7.0303 7.5880
angles: 80.35 80.35 97.77
Last column: nearest neighbours and their distance in Å.
Sites, in units of the cell vectors:
I (0.7358, 0.7358, 0.8953)  1 Ti 2.75
Ti (0.0000, 0.0000, 0.0000)  6 I 2.75
I (0.2642, 0.2642, 0.1047)  1 Ti 2.75
I (0.0680, 0.7037, 0.2561)  1 Ti 2.75
I (0.2963, 0.9320, 0.7439)  1 Ti 2.75
I (0.7037, 0.0680, 0.2561)  1 Ti 2.75
I (0.9320, 0.2963, 0.7439)  1 Ti 2.75
Cs (0.5000, 0.5000, 0.5000)  12 I 4.06-4.55

Results
* uncorrected formation energy: -0.7615 eV per atom
* volume: 44.916 Å³ per atom
* ΔE to the lowest computed polymorph: 0.13 eV per formula unit
* energy: -3.018 eV per atom

---

5.
First-principles (PBE) data for a relaxed SmZrZn crystal, as listed in the Alexandria database.

abc: 3.4303 3.4303 6.4886
angles: 105.33 105.33 90.00
Last column: nearest neighbours and their distance in Å.
Sites, in units of the cell vectors:
Sm (0.0056, 0.0056, 0.0111)  4 Zn 3.22, 4 Zr 3.35, 4 Sm 3.43
Zn (0.6814, 0.6814, 0.3629)  4 Zr 2.90, 4 Sm 3.22
Zr (0.3130, 0.3130, 0.6260)  4 Zn 2.90

Results
* volume: 23.606 Å³ per atom
* ΔH_f (0 K): -0.120 eV per atom
* ΔE to the lowest computed polymorph: 0.00 eV per formula unit
* energy: -4.967 eV per atom

---

6.
First-principles (PBE) data for a relaxed TaCoNiRh crystal, as listed in the Alexandria database.

abc: 3.6912 3.8198 3.7418
angles: 90.00 90.00 90.00
Last column: nearest neighbours and their distance in Å.
Sites, in units of the cell vectors:
Co (0.5000, 0.5000, 0.0000)  4 Ta 2.63, 4 Ni 2.66, 4 Rh 2.67
Ta (0.0000, 0.5000, 0.5000)  4 Co 2.63, 4 Rh 2.66, 4 Ni 2.67
Rh (0.5000, 0.0000, 0.5000)  4 Ni 2.63, 4 Ta 2.66, 4 Co 2.67
Ni (0.0000, 0.0000, 0.0000)  4 Rh 2.63, 4 Co 2.66, 4 Ta 2.67

Results
* volume: 13.189 Å³ per atom
* ΔH_f (0 K): -0.397 eV per atom
* ΔE to the lowest computed polymorph: 0.00 eV per formula unit
* energy: -8.420 eV per atom

---

7.
First-principles (PBE) data for a relaxed ZrPtO4 crystal, as listed in the Alexandria database.

abc: 4.0248 4.0248 5.9432
angles: 109.79 109.79 90.00
Last column: nearest neighbours and their distance in Å.
Sites, in units of the cell vectors:
O (0.3049, 0.3049, 0.6098)  1 Pt 2.04, 2 Zr 2.09
Zr (0.2500, 0.7500, 0.5000)  6 O 2.09-2.16
O (0.4571, 0.9571, 0.9143)  2 Pt 2.06, 1 Zr 2.16
Pt (0.5000, 0.5000, 0.0000)  6 O 2.04-2.06
O (0.0429, 0.5429, 0.0857)  2 Pt 2.06, 1 Zr 2.16
O (0.6951, 0.6951, 0.3902)  1 Pt 2.04, 2 Zr 2.09

Results
* uncorrected formation energy: -1.7458 eV per atom
* volume: 14.086 Å³ per atom
* energy: -7.483 eV per atom

---

8.
First-principles (PBE) data for a relaxed LiIn3 crystal, as listed in the Alexandria database.

abc: 3.2499 5.2011 5.7616
angles: 90.00 90.00 90.00
Last column: nearest neighbours and their distance in Å.
Sites, in units of the cell vectors:
In (0.5000, 0.0000, 0.4995)  8 In 3.18-3.40, 4 Li 3.22
Li (0.0000, 0.5000, 0.3317)  10 In 3.17-3.38, 2 Li 3.25
In (0.0000, 0.0000, 0.0179)  2 Li 3.17, 10 In 3.22-3.40
In (0.5000, 0.5000, 0.8176)  8 In 3.18-3.28, 4 Li 3.24-3.38

Results
* volume: 24.347 Å³ per atom
* ΔH_f (0 K): -0.105 eV per atom
* energy: -2.637 eV per atom